Entry 1:
VASP calculation (PBE-GGA) on crystalline La2TlCrRu at its relaxed geometry.

extended XYZ file:
```
5
Lattice="-4.277 0.985 3.209 -1.701 -3.961 -1.051 2.631 -2.243 4.196" Properties=species:S:1:pos:R:3 pbc="T T T"
Ru -0.850 -1.980 -0.525
Tl -1.673 -2.609 3.177
Cr 0.000 0.000 0.000
La 1.316 -1.122 2.098
La -2.139 0.493 1.604
```

## Properties
**E**: -0.2188 Ha/atom
**Space-group type**: P4/mmm, No. 123
**Calculated formation energy**: 270 meV per atom


Entry 2:
VASP calculation (PBE-GGA) on crystalline BaSc2Pb at its relaxed geometry.

extended XYZ file:
```
4
Lattice="-2.431 -1.610 4.732 -2.498 -4.956 0.295 2.255 -4.072 3.037" Properties=species:S:1:pos:R:3 pbc="T T T"
Ba -1.337 -5.319 4.032
Pb -2.006 -7.979 6.048
Sc 0.000 0.000 0.000
Sc -0.669 -2.660 2.016
```

## Properties
**E**: -0.1653 Ha/atom
**Space-group type**: F-43m, No. 216
**Calculated formation energy**: 76 meV per atom


Entry 3:
VASP calculation (PBE-GGA) on crystalline Na2NiPb2 at its relaxed geometry.

extended XYZ file:
```
10
Lattice="7.019 0.000 0.000 0.000 7.019 0.000 0.000 0.000 5.346" Properties=species:S:1:pos:R:3 pbc="T T T"
Pb 2.399 5.909 0.000
Pb 5.909 4.620 0.000
Pb 4.620 1.110 0.000
Pb 1.110 2.399 0.000
Ni 0.000 0.000 0.000
Ni 3.510 3.510 0.000
Na 1.180 4.690 2.673
Na 4.690 5.839 2.673
Na 5.839 2.329 2.673
Na 2.329 1.180 2.673
```

## Properties
**E**: -0.1146 Ha/atom
**Space-group type**: P4/mbm, No. 127
**Calculated formation energy**: 49 meV per atom